Computed, not measured: a relaxed Sc2MnAgN crystal at the PBE-GGA level of DFT.

abc: 4.5698 4.5698 3.6396
angles: 90.00 90.00 90.00
Closest atoms and distances in Å follow each position.
Atoms (fractional coordinates):
N (0.0000, 0.0000, 0.0000)  2 Mn 1.82
Ag (0.5000, 0.5000, 0.5000)  8 Sc 2.92, 4 Mn 3.23
Sc (0.5000, 0.0000, 0.0000)  2 N 2.28
Sc (0.0000, 0.5000, 0.0000)  2 N 2.28
Mn (0.0000, 0.0000, 0.5000)  2 N 1.82

Computed properties:
The calculation puts the formation energy (no corrections) at -0.717 eV/atom. As for the symmetry: P4/mmm.

Computed, not measured: a relaxed Sr2MnAgN crystal at the PBE-GGA level of DFT.

abc: 5.5202 5.5202 3.7604
angles: 90.00 90.00 90.00
Closest atoms and distances in Å follow each position.
Atoms (fractional coordinates):
Sr (0.5000, 0.0000, 0.0000)  2 N 2.76
Sr (0.0000, 0.5000, 0.0000)  2 N 2.76
Mn (0.0000, 0.0000, 0.5000)  2 N 1.88
Ag (0.5000, 0.5000, 0.5000)  8 Sr 3.34
N (0.0000, 0.0000, 0.0000)  2 Mn 1.88

Computed properties:
The calculation puts the formation energy (no corrections) at -0.347 eV/atom. As for the symmetry: P4/mmm.

Computed, not measured: a relaxed MnTc2AgN crystal at the PBE-GGA level of DFT.

abc: 4.0753 4.0753 3.9791
angles: 90.00 90.00 90.00
Closest atoms and distances in Å follow each position.
Atoms (fractional coordinates):
Tc (0.5000, 0.0000, 0.0000)  2 N 2.04
Mn (0.0000, 0.0000, 0.5000)  2 N 1.99
N (0.0000, 0.0000, 0.0000)  2 Mn 1.99, 4 Tc 2.04
Ag (0.5000, 0.5000, 0.5000)  8 Tc 2.85, 4 Mn 2.88
Tc (0.0000, 0.5000, 0.0000)  2 N 2.04

Computed properties:
The calculation puts the formation energy (no corrections) at 0.130 eV/atom. As for the symmetry: P4/mmm.

Computed, not measured: a relaxed MnAgTeN2 crystal at the PBE-GGA level of DFT.

abc: 3.9461 3.9461 5.6881
angles: 90.00 90.00 90.00
Closest atoms and distances in Å follow each position.
Atoms (fractional coordinates):
Mn (0.5000, 0.5000, 0.5000)  4 Te 2.79
N (0.0000, 0.5000, 0.0000)  2 Ag 1.97
Ag (0.0000, 0.0000, 0.0000)  4 N 1.97
N (0.5000, 0.0000, 0.0000)  2 Ag 1.97
Te (0.0000, 0.0000, 0.5000)  4 Mn 2.79, 2 Ag 2.84

Computed properties:
The calculation puts the formation energy (no corrections) at 2.331 eV/atom. As for the symmetry: P4/mmm.